1.
# YSi2O5 PBE optimized geometry
# Raw formation energy, eV/atom: -2.550
# Crystal system: orthorhombic
# N(E_F), states/eV/cell: 1.47
data_YSi2O5
_chemical_formula_sum 'Y2 Si4 O10'
_space_group_name_H-M_alt 'P m m n'
_space_group_IT_number 59
_cell_length_a 3.401
_cell_length_b 11.244
_cell_length_c 4.984
_cell_angle_alpha 90.00
_cell_angle_beta 90.00
_cell_angle_gamma 90.00
loop_
_space_group_symop_operation_xyz
'x,y,z'
'-x,-y,-z'
'-x+1/2,-y+1/2,z'
'x+1/2,y+1/2,-z'
'x+1/2,-y,-z'
'-x+1/2,y,z'
'-x,y+1/2,-z'
'x,-y+1/2,z'
loop_
_atom_site_label
_atom_site_fract_x
_atom_site_fract_y
_atom_site_fract_z
Y1 0.250 0.250 0.069
Si1 0.250 0.603 0.443
O1 0.250 0.076 0.440
O2 0.250 0.632 0.123
O3 0.250 0.750 0.592

2.
# Y2SiO5 PBE optimized geometry
# Distance to the lowest polymorph of the same formula, kJ per mole of atoms: 8.07
# Raw formation energy, eV/atom: -3.273
# Crystal system: orthorhombic
# N(E_F), states/eV/cell: 0.00
data_Y2SiO5
_chemical_formula_sum 'Y8 Si4 O20'
_space_group_name_H-M_alt 'P n m a'
_space_group_IT_number 62
_space_group_name_Hall '-P 2ac 2n'
_cell_length_a 10.222
_cell_length_b 3.684
_cell_length_c 10.825
_cell_angle_alpha 90.00
_cell_angle_beta 90.00
_cell_angle_gamma 90.00
loop_
_atom_site_label
_atom_site_fract_x
_atom_site_fract_y
_atom_site_fract_z
Y1 0.100 0.250 0.215
Y2 0.140 0.250 0.552
Si1 0.182 0.250 0.872
O1 0.010 0.750 0.605
O2 0.025 0.250 0.843
O3 0.222 0.250 0.024
O4 0.225 0.750 0.874
O5 0.234 0.750 0.234

3.
# Y3SiO6 PBE optimized geometry
# Raw formation energy, eV/atom: -3.170
# Crystal system: orthorhombic
# N(E_F), states/eV/cell: 10.60
data_Y3SiO6
_chemical_formula_sum 'Y12 Si4 O24'
_space_group_name_H-M_alt 'C m c 21'
_space_group_IT_number 36
_space_group_name_Hall 'C 2c -2'
_cell_length_a 8.930
_cell_length_b 11.058
_cell_length_c 5.447
_cell_angle_alpha 90.00
_cell_angle_beta 90.00
_cell_angle_gamma 90.00
loop_
_atom_site_label
_atom_site_fract_x
_atom_site_fract_y
_atom_site_fract_z
Y1 0.000 0.099 0.000
Y2 0.188 0.399 0.961
Si1 0.000 0.306 0.415
O1 0.000 0.282 0.713
O2 0.000 0.452 0.332
O3 0.146 0.244 0.272
O4 0.157 0.016 0.727

4.
# Y2SiO6 PBE optimized geometry
# Raw formation energy, eV/atom: -2.597
# Crystal system: tetragonal
# N(E_F), states/eV/cell: 6.52
data_Y2SiO6
_chemical_formula_sum 'Y4 Si2 O12'
_space_group_name_H-M_alt 'P 42/m n m'
_space_group_IT_number 136
_space_group_name_Hall '-P 4n 2n'
_cell_length_a 4.872
_cell_length_b 4.872
_cell_length_c 9.759
_cell_angle_alpha 90.00
_cell_angle_beta 90.00
_cell_angle_gamma 90.00
loop_
_atom_site_label
_atom_site_fract_x
_atom_site_fract_y
_atom_site_fract_z
Y1 0.000 0.000 0.170
Si1 0.000 0.000 0.500
O1 0.179 0.179 0.365
O2 0.242 0.242 0.000

5.
# Y2Si2O7 PBE optimized geometry
# Raw formation energy, eV/atom: -3.212
# Crystal system: orthorhombic
# N(E_F), states/eV/cell: 0.00
data_Y2Si2O7
_chemical_formula_sum 'Y8 Si8 O28'
_space_group_name_H-M_alt 'P n m a'
_space_group_IT_number 62
_space_group_name_Hall '-P 2ac 2n'
_cell_length_a 13.841
_cell_length_b 8.220
_cell_length_c 5.095
_cell_angle_alpha 90.00
_cell_angle_beta 90.00
_cell_angle_gamma 90.00
loop_
_atom_site_label
_atom_site_fract_x
_atom_site_fract_y
_atom_site_fract_z
Y1 0.126 0.009 0.158
Si1 0.040 0.750 0.626
Si2 0.181 0.250 0.620
O1 0.047 0.582 0.793
O2 0.080 0.250 0.435
O3 0.100 0.750 0.349
O4 0.155 0.250 0.931
O5 0.233 0.085 0.511

6.
# Y2Si2O7 PBE optimized geometry
# Raw formation energy, eV/atom: -3.199
# Crystal system: triclinic
# N(E_F), states/eV/cell: 0.00
data_Y2Si2O7
_chemical_formula_sum 'Y8 Si8 O28'
_space_group_name_H-M_alt 'P -1'
_space_group_IT_number 2
_space_group_name_Hall '-P 1'
_cell_length_a 6.679
_cell_length_b 6.709
_cell_length_c 12.163
_cell_angle_alpha 94.25
_cell_angle_beta 91.38
_cell_angle_gamma 91.99
loop_
_atom_site_label
_atom_site_fract_x
_atom_site_fract_y
_atom_site_fract_z
Y1 0.049 0.328 0.115
Y2 0.118 0.089 0.357
Y3 0.328 0.825 0.109
Y4 0.366 0.221 0.634
Si1 0.146 0.625 0.379
Si2 0.154 0.148 0.885
Si3 0.377 0.726 0.594
Si4 0.488 0.668 0.825
O1 0.001 0.667 0.082
O2 0.003 0.985 0.815
O3 0.036 0.229 0.580
O4 0.077 0.416 0.311
O5 0.227 0.905 0.622
O6 0.230 0.083 0.005
O7 0.283 0.574 0.490
O8 0.291 0.780 0.313
O9 0.301 0.706 0.906
O10 0.347 0.212 0.815
O11 0.354 0.487 0.127
O12 0.384 0.135 0.211
O13 0.400 0.571 0.695
O14 0.413 0.176 0.448

7.
# Y2Si2O7 PBE optimized geometry
# Raw formation energy, eV/atom: -3.219
# Crystal system: monoclinic
# N(E_F), states/eV/cell: 0.00
data_Y2Si2O7
_chemical_formula_sum 'Y4 Si4 O14'
_space_group_name_H-M_alt 'P 1 21/c 1'
_space_group_IT_number 14
_space_group_name_Hall '-P 2ybc'
_cell_length_a 4.757
_cell_length_b 10.941
_cell_length_c 5.648
_cell_angle_alpha 90.00
_cell_angle_beta 96.10
_cell_angle_gamma 90.00
loop_
_atom_site_label
_atom_site_fract_x
_atom_site_fract_y
_atom_site_fract_z
Y1 0.109 0.151 0.407
Si1 0.361 0.612 0.644
O1 0.125 0.683 0.461
O2 0.205 0.551 0.864
O3 0.380 0.201 0.747
O4 0.500 0.000 0.000

8.
# YSi2O PBE optimized geometry
# Raw formation energy, eV/atom: -0.432
# Crystal system: tetragonal
# N(E_F), states/eV/cell: 6.13
data_YSi2O
_chemical_formula_sum 'Y4 Si8 O4'
_space_group_name_H-M_alt 'I -4 2 d'
_space_group_IT_number 122
_space_group_name_Hall 'I -4 2bw'
_cell_length_a 6.191
_cell_length_b 6.191
_cell_length_c 7.485
_cell_angle_alpha 90.00
_cell_angle_beta 90.00
_cell_angle_gamma 90.00
loop_
_atom_site_label
_atom_site_fract_x
_atom_site_fract_y
_atom_site_fract_z
Y1 0.000 0.000 0.000
Si1 0.117 0.250 0.625
O1 0.000 0.000 0.500

9.
# Y2SiO5 PBE optimized geometry
# Distance to the lowest polymorph of the same formula, kJ per mole of atoms: 2.41
# Raw formation energy, eV/atom: -3.331
# Crystal system: monoclinic
# N(E_F), states/eV/cell: 0.00
data_Y2SiO5
_chemical_formula_sum 'Y8 Si4 O20'
_space_group_name_H-M_alt 'P 1 21/c 1'
_space_group_IT_number 14
_space_group_name_Hall '-P 2ybc'
_cell_length_a 9.157
_cell_length_b 6.920
_cell_length_c 6.761
_cell_angle_alpha 90.00
_cell_angle_beta 105.94
_cell_angle_gamma 90.00
loop_
_atom_site_label
_atom_site_fract_x
_atom_site_fract_y
_atom_site_fract_z
Y1 0.028 0.125 0.232
Y2 0.374 0.139 0.058
Si1 0.300 0.589 0.026
O1 0.113 0.119 0.939
O2 0.115 0.636 0.989
O3 0.292 0.071 0.338
O4 0.373 0.050 0.725
O5 0.397 0.717 0.520

10.
# Y4Si2O PBE optimized geometry
# Distance to the lowest polymorph of the same formula, kJ per mole of atoms: 2.67
# Raw formation energy, eV/atom: -1.247
# Crystal system: tetragonal
# N(E_F), states/eV/cell: 14.47
data_Y4Si2O
_chemical_formula_sum 'Y8 Si4 O2'
_space_group_name_H-M_alt 'I 4/m m m'
_space_group_IT_number 139
_space_group_name_Hall '-I 4 2'
_cell_length_a 4.484
_cell_length_b 4.484
_cell_length_c 15.658
_cell_angle_alpha 90.00
_cell_angle_beta 90.00
_cell_angle_gamma 90.00
loop_
_atom_site_label
_atom_site_fract_x
_atom_site_fract_y
_atom_site_fract_z
Y1 0.000 0.000 0.178
Y2 0.000 0.500 0.000
Si1 0.000 0.000 0.364
O1 0.000 0.000 0.000

11.
# Y2Si2O7 PBE optimized geometry
# Raw formation energy, eV/atom: -3.212
# Crystal system: monoclinic
# N(E_F), states/eV/cell: 0.00
data_Y2Si2O7
_chemical_formula_sum 'Y4 Si4 O14'
_space_group_name_H-M_alt 'P 1 21/m 1'
_space_group_IT_number 11
_space_group_name_Hall '-P 2yb'
_cell_length_a 5.101
_cell_length_b 8.145
_cell_length_c 7.423
_cell_angle_alpha 90.00
_cell_angle_beta 108.80
_cell_angle_gamma 90.00
loop_
_atom_site_label
_atom_site_fract_x
_atom_site_fract_y
_atom_site_fract_z
Y1 0.232 0.008 0.253
Si1 0.154 0.250 0.573
Si2 0.285 0.750 0.867
O1 0.007 0.750 0.665
O2 0.070 0.750 0.313
O3 0.216 0.585 0.966
O4 0.332 0.081 0.593
O5 0.431 0.250 0.186

12.
# Y4Si2O PBE optimized geometry
# Distance to the lowest polymorph of the same formula, kJ per mole of atoms: 0.00
# Raw formation energy, eV/atom: -1.275
# Crystal system: monoclinic
# N(E_F), states/eV/cell: 7.34
data_Y4Si2O
_chemical_formula_sum 'Y8 Si4 O2'
_space_group_name_H-M_alt 'P 1 21/m 1'
_space_group_IT_number 11
_space_group_name_Hall '-P 2yb'
_cell_length_a 6.472
_cell_length_b 6.556
_cell_length_c 8.190
_cell_angle_alpha 90.00
_cell_angle_beta 108.33
_cell_angle_gamma 90.00
loop_
_atom_site_label
_atom_site_fract_x
_atom_site_fract_y
_atom_site_fract_z
Y1 0.003 0.001 0.262
Y2 0.411 0.750 0.089
Y3 0.438 0.750 0.626
Si1 0.213 0.250 0.047
Si2 0.250 0.250 0.567
O1 0.237 0.750 0.807

13.
# Yb3YSi4O14 PBE optimized geometry
# Raw formation energy, eV/atom: -2.931
# Crystal system: triclinic
# N(E_F), states/eV/cell: 42.17
data_Yb3YSi4O14
_chemical_formula_sum 'Yb3 Y1 Si4 O14'
_space_group_name_H-M_alt 'P 1'
_space_group_IT_number 1
_space_group_name_Hall 'P 1'
_cell_length_a 4.807
_cell_length_b 5.714
_cell_length_c 11.313
_cell_angle_alpha 76.65
_cell_angle_beta 79.06
_cell_angle_gamma 82.79
loop_
_atom_site_label
_atom_site_fract_x
_atom_site_fract_y
_atom_site_fract_z
Yb1 0.000 0.000 0.000
Yb2 0.001 0.925 0.692
Yb3 0.003 0.501 0.501
Y1 0.002 0.424 0.193
Si1 0.410 0.354 0.739
Si2 0.410 0.854 0.238
Si3 0.592 0.572 0.955
Si4 0.594 0.071 0.455
O1 0.220 0.069 0.156
O2 0.222 0.123 0.803
O3 0.223 0.622 0.303
O4 0.224 0.569 0.656
O5 0.289 0.652 0.036
O6 0.293 0.154 0.537
O7 0.498 0.965 0.347
O8 0.505 0.460 0.847
O9 0.712 0.273 0.656
O10 0.712 0.773 0.157
O11 0.779 0.802 0.889
O12 0.780 0.358 0.039
O13 0.781 0.857 0.537
O14 0.782 0.302 0.389

14.
# Yb3SiO PBE optimized geometry
# Distance to the lowest polymorph of the same formula, kJ per mole of atoms: 1.15
# Raw formation energy, eV/atom: -1.471
# Crystal system: orthorhombic
# N(E_F), states/eV/cell: 172.80
data_Yb3SiO
_chemical_formula_sum 'Yb12 Si4 O4'
_space_group_name_H-M_alt 'I m m a'
_space_group_IT_number 74
_space_group_name_Hall '-I 2b 2'
_cell_length_a 6.635
_cell_length_b 9.375
_cell_length_c 6.724
_cell_angle_alpha 90.00
_cell_angle_beta 90.00
_cell_angle_gamma 90.00
loop_
_atom_site_label
_atom_site_fract_x
_atom_site_fract_y
_atom_site_fract_z
Yb1 0.000 0.250 0.065
Yb2 0.250 0.034 0.750
Si1 0.000 0.250 0.504
O1 0.000 0.000 0.000

15.
# YbSiO3 PBE optimized geometry
# Raw formation energy, eV/atom: -3.015
# Crystal system: cubic
# N(E_F), states/eV/cell: 0.00
data_YbSiO3
_chemical_formula_sum 'Yb1 Si1 O3'
_space_group_name_H-M_alt 'P m -3 m'
_space_group_IT_number 221
_space_group_name_Hall '-P 4 2 3'
_cell_length_a 3.565
_cell_length_b 3.565
_cell_length_c 3.565
_cell_angle_alpha 90.00
_cell_angle_beta 90.00
_cell_angle_gamma 90.00
loop_
_atom_site_label
_atom_site_fract_x
_atom_site_fract_y
_atom_site_fract_z
Yb1 0.000 0.000 0.000
Si1 0.500 0.500 0.500
O1 0.000 0.500 0.500